[1]
DFT (PBE) results for a relaxed structure of LiCaV3.

a b c (Å): 4.7697 4.7697 4.7697
angles (deg): 90.00 90.00 90.00
Closest atoms and distances in Å follow each position.
Fractional positions:
1 Li 0.0000 0.0000 0.0000  12 V 3.37
2 Ca 0.5000 0.5000 0.5000  6 V 2.38
3 V 0.0000 0.5000 0.5000  2 Ca 2.38
4 V 0.5000 0.0000 0.5000  2 Ca 2.38
5 V 0.5000 0.5000 0.0000  2 Ca 2.38

Output
D(E_F) (states/eV/f.u.): 6.90
Formation enthalpy at 0 K (eV/atom): 2.147
Energy relative to the lowest polymorph listed for this composition (meV/atom): 825
Total moment (μB per formula unit): 6.5

---

[2]
DFT (PBE) results for a relaxed structure of MnTl2P.

a b c (Å): 4.8453 4.8453 4.8453
angles (deg): 60.00 60.00 60.00
Closest atoms and distances in Å follow each position.
Fractional positions:
1 Mn 0.0000 0.0000 0.0000  8 Tl 2.97
2 Tl 0.2500 0.2500 0.2500  4 Mn 2.97, 4 P 2.97
3 Tl 0.7500 0.7500 0.7500  4 P 2.97, 4 Mn 2.97
4 P 0.5000 0.5000 0.5000  8 Tl 2.97

Output
D(E_F) (states/eV/f.u.): 6.15
Formation enthalpy at 0 K (eV/atom): 1.086
Energy relative to the lowest polymorph listed for this composition (meV/atom): 1032
Total moment (μB per formula unit): 0.0